Here is DyHfSc4 after structural relaxation from the Alexandria database. Energies are from GGA-PBE.

a = 3.316 Å, b = 5.178 Å, c = 8.904 Å
α = 90.01°, β = 100.72°, γ = 90.00°
Fractional coordinates of all 6 atoms:
1 Sc 0.944 0.003 0.133
2 Sc 0.732 0.503 0.710
3 Sc 0.049 0.503 0.345
4 Dy 0.615 0.003 0.475
5 Sc 0.286 0.003 0.818
6 Hf 0.393 0.503 0.030

Calculated values
formation energy = 0.01 eV per atom
energy = -6.632 eV/atom
theoretical density = 5.76 Mg/m³
relative energy among the computed polymorphs = 0.00 eV per formula unit